{
  "formula": "AcPmSm2Tm",
  "functional": "PBE",
  "state": "optimized geometry",
  "cell": [[4.185, -6.080, 0.000], [4.185, 6.080, 0.000], [0.000, 0.000, 7.340]],
  "species": ["Ac", "Ac", "Pm", "Pm", "Sm", "Sm", "Sm", "Sm", "Tm", "Tm"],
  "frac_coords": [[0.244, 0.756, 0.750], [0.756, 0.244, 0.250], [0.057, 0.943, 0.250], [0.943, 0.057, 0.750], [0.305, 0.305, 0.000], [0.305, 0.305, 0.500], [0.695, 0.695, 0.000], [0.695, 0.695, 0.500], [0.308, 0.692, 0.250], [0.692, 0.308, 0.750]]
}



{
  "formula": "AcTmAl",
  "functional": "PBE",
  "state": "optimized geometry",
  "cell": [[-1.838, 1.838, 6.781], [1.838, -1.838, 6.781], [1.838, 1.838, -6.781]],
  "species": ["Ac", "Tm", "Al"],
  "frac_coords": [[0.000, 0.000, 0.000], [0.290, 0.290, 0.000], [0.666, 0.666, 0.000]]
}



How do the records compare in energy of formation? In the order shown, they have 1.76, -0.45 eV/f.u..